Entry 1:
{
  "formula": "TmZnB4",
  "functional": "PBE-GGA",
  "state": "optimized geometry",
  "cell": [[-1.584, 2.614, 3.832], [1.584, -2.614, 3.832], [1.584, 2.614, -3.832]],
  "species": ["Zn", "B", "B", "B", "B", "Tm"],
  "frac_coords": [[0.000, 0.000, 0.000], [0.561, 0.238, 0.324], [0.439, 0.762, 0.676], [0.086, 0.762, 0.324], [0.914, 0.238, 0.676], [0.500, 0.500, 0.000]],
  "polymorph_energy_mev_per_atom": 0,
  "sg": "Immm, No. 71",
  "e_tot_ev_per_cell": -33.65
}

=====

Entry 2:
{
  "formula": "Nb3AgB3",
  "functional": "PBE-GGA",
  "state": "optimized geometry",
  "cell": [[-0.666, 12.259, -11.201], [-0.765, -14.086, 8.786], [-2.849, 0.821, 1.067]],
  "species": ["Nb", "Nb", "Nb", "Nb", "Nb", "Nb", "B", "B", "B", "B", "B", "B", "Ag", "Ag"],
  "frac_coords": [[0.960, 0.040, 0.750], [0.880, 0.120, 0.250], [0.327, 0.673, 0.750], [0.120, 0.880, 0.750], [0.040, 0.960, 0.250], [0.673, 0.327, 0.250], [0.568, 0.432, 0.750], [0.432, 0.568, 0.250], [0.597, 0.403, 0.250], [0.403, 0.597, 0.750], [0.514, 0.486, 0.750], [0.486, 0.514, 0.250], [0.226, 0.774, 0.750], [0.774, 0.226, 0.250]],
  "sg": "Cmcm, No. 63",
  "e_tot_ev_per_cell": -112.28
}

=====

Entry 3:
{
  "formula": "Sr2CoCuAs2",
  "functional": "PBE-GGA",
  "state": "optimized geometry",
  "cell": [[4.171, 0.000, 0.000], [-2.086, 3.612, 0.000], [0.000, 0.000, 8.904]],
  "species": ["As", "As", "Sr", "Sr", "Co", "Cu"],
  "frac_coords": [[0.667, 0.333, 0.500], [0.000, 0.000, 0.000], [0.333, 0.667, 0.247], [0.333, 0.667, 0.753], [0.667, 0.333, 0.000], [0.000, 0.000, 0.500]],
  "sg": "P-6m2, No. 187",
  "e_tot_ev_per_cell": -27.55
}

=====

Entry 4:
{
  "formula": "TaZnCdFe",
  "functional": "PBE-GGA",
  "state": "optimized geometry",
  "cell": [[0.000, 3.182, 3.182], [3.182, 0.000, 3.182], [3.182, 3.182, 0.000]],
  "species": ["Ta", "Zn", "Cd", "Fe"],
  "frac_coords": [[0.250, 0.250, 0.250], [0.000, 0.000, 0.000], [0.500, 0.500, 0.500], [0.750, 0.750, 0.750]],
  "polymorph_energy_mev_per_atom": 140,
  "sg": "F-43m, No. 216",
  "e_tot_ev_per_cell": -20.43,
  "formation_energy_mev_per_atom": 474
}